(1)
PBE TaZnAg4, optimized geometry; energy of formation = 562 meV/atom; N(E_F) = 4.485 states/eV/f.u.
1.0
0.000 3.797 3.797
3.797 0.000 3.797
3.797 3.797 0.000
Ta Zn Ag
1 1 4
direct
0.000 0.000 0.000
0.750 0.750 0.750
0.375 0.375 0.375
0.375 0.375 0.875
0.375 0.875 0.375
0.875 0.375 0.375


(2)
PBE Dy2Si4Ni3Pt, optimized geometry; final energy = -6.35 eV/atom; N(E_F) = 6.563 states/eV/f.u.
1.0
3.995 0.000 0.000
0.000 3.995 0.000
0.000 0.000 9.664
Dy Si Ni Pt
2 4 3 1
direct
0.000 0.500 0.242
0.500 0.000 0.758
0.000 0.000 0.000
0.000 0.500 0.642
0.500 0.000 0.358
0.500 0.500 0.000
0.000 0.500 0.879
0.500 0.000 0.121
0.500 0.500 0.500
0.000 0.000 0.500


(3)
PBE CrTe2I, optimized geometry; energy above the most stable polymorph in this dataset = 342 meV per atom; N(E_F) = 2.238 states/eV/f.u.
1.0
-3.027 3.027 6.572
3.027 -3.027 6.572
3.027 3.027 -6.572
Cr Te I
2 4 2
direct
0.375 0.625 0.750
0.625 0.375 0.250
0.163 0.413 0.750
0.413 0.163 0.250
0.587 0.837 0.750
0.837 0.587 0.250
0.125 0.875 0.250
0.875 0.125 0.750